VASP calculation (GGA-PBE) on Tb3Co2Ge3 after structural relaxation.

The value obtained for the density of states at the Fermi level is 23.5 states/eV per cell. The calculation puts the formation energy at -0.714 eV/atom. The total energy comes out at -5.958 eV/atom.

It has space group Cmcm (No. 63), with a = 4.1701 Å, b = 10.5035 Å, c = 14.0906 Å, α = 90.00°, β = 90.00° and γ = 90.00°. The distinct sites, in fractional coordinates, are Tb at (0.0000, 0.0817, 0.1092), Tb at (0.0000, 0.3597, 0.2500), Co at (0.0000, 0.2084, 0.5976), Ge at (0.0000, 0.3373, 0.7500) and Ge at (0.0000, 0.3687, 0.0391).


VASP calculation (GGA-PBE) on TbCo4Ge after structural relaxation.

The value obtained for the density of states at the Fermi level is 38.8 states/eV per cell. The calculation puts the formation energy at -0.091 eV/atom. The total energy comes out at -6.370 eV/atom.

It has space group F-43m (No. 216), with a = 6.9556 Å, b = 6.9556 Å, c = 6.9556 Å, α = 90.00°, β = 90.00° and γ = 90.00°. The distinct sites, in fractional coordinates, are Tb at (0.0000, 0.0000, 0.0000), Co at (0.1241, 0.1241, 0.6241) and Ge at (0.2500, 0.2500, 0.2500).


VASP calculation (GGA-PBE) on TbCo2Ge after structural relaxation.

The value obtained for the density of states at the Fermi level is 10.8 states/eV per cell. The calculation puts the formation energy at -0.251 eV/atom. The total energy comes out at -6.116 eV/atom.

It has space group P4/nmm (No. 129, origin choice 2), with a = 3.8042 Å, b = 3.8042 Å, c = 9.1865 Å, α = 90.00°, β = 90.00° and γ = 90.00°. The distinct sites, in fractional coordinates, are Tb at (0.2500, 0.2500, 0.2171), Co at (0.2500, 0.2500, 0.9211), Co at (0.2500, 0.7500, 0.5000) and Ge at (0.2500, 0.2500, 0.6494).


VASP calculation (GGA-PBE) on Tb2Co5Ge4 after structural relaxation.

The value obtained for the density of states at the Fermi level is 26.1 states/eV per cell. The calculation puts the formation energy at -0.474 eV/atom. The total energy comes out at -6.225 eV/atom.

It has space group Fmmm (No. 69), with a = 5.3826 Å, b = 9.2666 Å, c = 13.8563 Å, α = 90.00°, β = 90.00° and γ = 90.00°. The distinct sites, in fractional coordinates, are Tb at (0.0000, 0.0000, 0.1296), Co at (0.0000, 0.0000, 0.5000), Co at (0.2500, 0.2500, 0.0000), Co at (0.2500, 0.2500, 0.2500) and Ge at (0.0000, 0.1566, 0.3696).


VASP calculation (GGA-PBE) on Tb12Co6Ge after structural relaxation.

The value obtained for the density of states at the Fermi level is 17.4 states/eV per cell. The calculation puts the formation energy at -0.252 eV/atom. The total energy comes out at -5.663 eV/atom.

It has space group Im-3 (No. 204), with a = 9.6382 Å, b = 9.6382 Å, c = 9.6382 Å, α = 90.00°, β = 90.00° and γ = 90.00°. The distinct sites, in fractional coordinates, are Tb at (0.0000, 0.1937, 0.3012), Co at (0.0000, 0.3865, 0.5000) and Ge at (0.0000, 0.0000, 0.0000).


VASP calculation (GGA-PBE) on Tb3CoGe after structural relaxation.

The value obtained for the density of states at the Fermi level is 16.6 states/eV per cell. The calculation puts the formation energy at -0.394 eV/atom. The total energy comes out at -5.517 eV/atom.

It has space group C2/m (No. 12), with a = 15.5815 Å, b = 3.7672 Å, c = 8.2569 Å, α = 90.00°, β = 92.75° and γ = 90.00°. The distinct sites, in fractional coordinates, are Tb at (0.0498, 0.0000, 0.1863), Tb at (0.1045, 0.5000, 0.5493), Tb at (0.2493, 0.0000, 0.8023), Co at (0.2118, 0.0000, 0.4442) and Ge at (0.1116, 0.5000, 0.9233).